(1)
Here is crystalline NiIO2F at its relaxed geometry from Alexandria via LeMat-Bulk. Energies are from PBE with a Hubbard U.

Cell and atoms, written as POSCAR:
```
NiIO2F
1.0
4.3700 0.0000 0.0000
0.0000 4.3700 0.0000
0.0000 0.0000 4.2625
I Ni O F
1 1 2 1
Cartesian
0.0000 0.0000 2.1313
2.1850 2.1850 2.1313
0.0000 2.1850 0.0000
2.1850 0.0000 0.0000
0.0000 0.0000 0.0000
```

Electronic total energy   -2.2110 eV per atom
V   81 Å³/cell

=====

(2)
Here is crystalline CoWO2F at its relaxed geometry from Alexandria via LeMat-Bulk. Energies are from PBE with a Hubbard U.

Cell and atoms, written as POSCAR:
```
CoWO2F
1.0
4.0571 0.0000 0.0000
0.0000 4.0571 0.0000
0.0000 0.0000 4.1938
Co O W F
1 2 1 1
Cartesian
2.0285 2.0285 2.0969
0.0000 2.0285 0.0000
2.0285 0.0000 0.0000
0.0000 0.0000 0.0000
0.0000 0.0000 2.0969
```

Electronic total energy   -5.8583 eV per atom
V   69 Å³/cell